(1)
The following is a PBE calculation of a relaxed structure of HfScTlTc, from Alexandria via LeMat-Bulk.

Lattice parameters (Å, degrees): 6.803 6.803 6.803 90.00 90.00 90.00
Sites, in units of the cell vectors:
Hf 0.000 0.000 0.000
Hf 0.000 0.500 0.500
Hf 0.500 0.000 0.500
Hf 0.500 0.500 0.000
Sc 0.000 0.000 0.500
Sc 0.000 0.500 0.000
Sc 0.500 0.000 0.000
Sc 0.500 0.500 0.500
Tl 0.250 0.250 0.750
Tl 0.250 0.750 0.250
Tl 0.750 0.250 0.250
Tl 0.750 0.750 0.750
Tc 0.250 0.250 0.250
Tc 0.250 0.750 0.750
Tc 0.750 0.250 0.750
Tc 0.750 0.750 0.250

Magnetic moment   0.0 μB per cell
Volume   19.68 A^3/atom
VASP energy   -7.3570 eV per atom
Formation enthalpy at 0 K   -0.41 eV/f.u.
Symmetry   F-43m (216)
Crystal system   cubic

---

(2)
The following is a PBE calculation of a relaxed structure of Hf3ScTe, from Alexandria via LeMat-Bulk.

Lattice parameters (Å, degrees): 5.216 5.216 5.216 90.00 90.00 90.00
Sites, in units of the cell vectors:
Hf 0.000 0.000 0.500
Hf 0.000 0.500 0.000
Hf 0.500 0.000 0.000
Sc 0.500 0.500 0.500
Te 0.000 0.000 0.000

Magnetic moment   0.0 μB per cell
Volume   28.38 A^3/atom
VASP energy   -7.2130 eV per atom
Formation energy from raw total energies   63.1 kJ/mol of atoms
Symmetry   Pm-3m (221)
Crystal system   cubic

---

(3)
The following is a PBE calculation of a relaxed structure of HfSc3Te6, from Alexandria via LeMat-Bulk.

Lattice parameters (Å, degrees): 8.552 8.552 8.552 89.90 89.90 89.90
Sites, in units of the cell vectors:
Hf 0.000 0.000 0.000
Hf 0.500 0.500 0.500
Sc 0.084 0.233 0.584
Sc 0.233 0.584 0.084
Sc 0.416 0.916 0.767
Sc 0.584 0.084 0.233
Sc 0.767 0.416 0.916
Sc 0.916 0.767 0.416
Te 0.081 0.898 0.688
Te 0.102 0.312 0.919
Te 0.179 0.542 0.413
Te 0.312 0.919 0.102
Te 0.413 0.179 0.542
Te 0.458 0.587 0.821
Te 0.542 0.413 0.179
Te 0.587 0.821 0.458
Te 0.688 0.081 0.898
Te 0.821 0.458 0.587
Te 0.898 0.688 0.081
Te 0.919 0.102 0.312

Magnetic moment   0.0 μB per cell
Volume   31.27 A^3/atom
VASP energy   -5.7502 eV per atom
Formation energy from raw total energies   -93.6 kJ/mol of atoms
Symmetry   R-3 (148)
Crystal system   trigonal

---

(4)
The following is a PBE calculation of a relaxed structure of HfSc3Te, from Alexandria via LeMat-Bulk.

Lattice parameters (Å, degrees): 5.220 5.220 5.220 90.00 90.00 90.00
Sites, in units of the cell vectors:
Hf 0.000 0.000 0.000
Sc 0.000 0.000 0.500
Sc 0.000 0.500 0.000
Sc 0.500 0.000 0.000
Te 0.500 0.500 0.500

Magnetic moment   0.0 μB per cell
Volume   28.45 A^3/atom
VASP energy   -5.8177 eV per atom
Formation energy from raw total energies   57.9 kJ/mol of atoms
Symmetry   Pm-3m (221)
Crystal system   cubic